GdTmAu6: relaxed, PBE.

Cell lengths 5.0279, 6.1511, 5.1367 Å; angles 90.00, 90.00, 90.00 degrees
Sites, in units of the cell vectors:
Au (0.0000, 0.5000, 0.1628)
Au (0.5000, 0.2490, 0.3389)
Au (0.5000, 0.7510, 0.3389)
Au (0.0000, 0.2609, 0.6632)
Au (0.0000, 0.7391, 0.6632)
Au (0.5000, 0.0000, 0.8305)
Gd (0.0000, 0.0000, 0.1571)
Tm (0.5000, 0.5000, 0.8453)

Values from the calculation:
energy relative to the elements: -0.722 eV/atom
SG: Pmm2 (25)

---

GdTmAu: relaxed, PBE.

Cell lengths 4.8287, 4.8287, 4.8287 Å; angles 60.00, 60.00, 60.00 degrees
Sites, in units of the cell vectors:
Au (0.2500, 0.2500, 0.2500)
Gd (0.7500, 0.7500, 0.7500)
Tm (0.0000, 0.0000, 0.0000)

Values from the calculation:
energy relative to the elements: 0.109 eV/atom
E above lowest polymorph: 0.0000 eV per atom
SG: F-43m (216)

---

GdUAu: relaxed, PBE.

Cell lengths 4.9306, 4.9306, 4.9306 Å; angles 60.00, 60.00, 60.00 degrees
Sites, in units of the cell vectors:
Au (0.0000, 0.0000, 0.0000)
Gd (0.2500, 0.2500, 0.2500)
U (0.7500, 0.7500, 0.7500)

Values from the calculation:
energy relative to the elements: 0.243 eV/atom
E above lowest polymorph: 0.0000 eV per atom
SG: F-43m (216)

---

GdYAu4: relaxed, PBE.

Cell lengths 3.7445, 3.7445, 9.0783 Å; angles 90.00, 90.00, 90.00 degrees
Sites, in units of the cell vectors:
Au (0.5000, 0.5000, 0.1656)
Au (0.0000, 0.0000, 0.3346)
Au (0.0000, 0.0000, 0.6654)
Au (0.5000, 0.5000, 0.8344)
Gd (0.0000, 0.0000, 0.0000)
Y (0.5000, 0.5000, 0.5000)

Values from the calculation:
energy relative to the elements: -0.856 eV/atom
SG: P4/mmm (123)

---

GdYAu6: relaxed, PBE.

Cell lengths 5.0512, 6.2019, 5.1475 Å; angles 90.00, 90.00, 90.00 degrees
Sites, in units of the cell vectors:
Au (0.0000, 0.5000, 0.1680)
Au (0.5000, 0.2428, 0.3398)
Au (0.5000, 0.7572, 0.3398)
Au (0.0000, 0.2578, 0.6604)
Au (0.0000, 0.7422, 0.6604)
Au (0.5000, 0.0000, 0.8316)
Gd (0.0000, 0.0000, 0.1554)
Y (0.5000, 0.5000, 0.8447)

Values from the calculation:
energy relative to the elements: -0.717 eV/atom
SG: Pmm2 (25)

---

GdYZn2Au4: relaxed, PBE.

Cell lengths 4.8511, 4.8511, 6.8554 Å; angles 90.00, 90.00, 90.00 degrees
Sites, in units of the cell vectors:
Au (0.5000, 0.0000, 0.2505)
Au (0.0000, 0.5000, 0.2505)
Au (0.5000, 0.0000, 0.7495)
Au (0.0000, 0.5000, 0.7495)
Gd (0.0000, 0.0000, 0.0000)
Y (0.5000, 0.5000, 0.5000)
Zn (0.5000, 0.5000, 0.0000)
Zn (0.0000, 0.0000, 0.5000)

Values from the calculation:
energy relative to the elements: -0.631 eV/atom
SG: P4/mmm (123)